# 1
# NbPtRh, relaxed, DFT PBE
data_NbPtRh
_chemical_formula_sum 'Nb1 Pt1 Rh1'
_cell_length_a 4.4737
_cell_length_b 4.4737
_cell_length_c 2.7796
_cell_angle_alpha 90.00
_cell_angle_beta 90.00
_cell_angle_gamma 120.00
_symmetry_space_group_name_H-M 'P -6 m 2'
_symmetry_Int_Tables_number 187
_symmetry_space_group_name_Hall 'P -6 2'
loop_
_atom_site_label
_atom_site_type_symbol
_atom_site_fract_x
_atom_site_fract_y
_atom_site_fract_z
_atom_site_occupancy
Nb1 Nb 0.0000 0.0000 0.0000 1
Pt1 Pt 0.3333 0.6667 0.5000 1
Rh1 Rh 0.6667 0.3333 0.5000 1
# * E above lowest polymorph: 25.5 kJ per mole of atoms
# * calculated total energy: -8.14 eV per atom

***

# 2
# Nb2Pt6Rh, relaxed, DFT PBE
data_Nb2Pt6Rh
_chemical_formula_sum 'Nb4 Pt12 Rh2'
_cell_length_a 12.0893
_cell_length_b 3.9346
_cell_length_c 6.3273
_cell_angle_alpha 90.00
_cell_angle_beta 108.47
_cell_angle_gamma 90.00
_symmetry_space_group_name_H-M 'C 1 2/m 1'
_symmetry_Int_Tables_number 12
loop_
_symmetry_equiv_pos_as_xyz
'x,y,z'
'-x,-y,-z'
'-x,y,-z'
'x,-y,z'
'x+1/2,y+1/2,z'
'-x+1/2,-y+1/2,-z'
'-x+1/2,y+1/2,-z'
'x+1/2,-y+1/2,z'
loop_
_atom_site_label
_atom_site_type_symbol
_atom_site_fract_x
_atom_site_fract_y
_atom_site_fract_z
_atom_site_occupancy
Nb1 Nb 0.0589 0.0000 0.3215 1
Pt1 Pt 0.1027 0.5000 0.6657 1
Pt2 Pt 0.1649 0.0000 0.0045 1
Pt3 Pt 0.2189 0.5000 0.3380 1
Rh1 Rh 0.0000 0.5000 0.0000 1
# * E above lowest polymorph: 0.0 kJ per mole of atoms
# * calculated total energy: -7.65 eV per atom

***

# 3
# NbPt2Rh, relaxed, DFT PBE
data_NbPt2Rh
_chemical_formula_sum 'Nb4 Pt8 Rh4'
_cell_length_a 7.2053
_cell_length_b 7.2053
_cell_length_c 5.3667
_cell_angle_alpha 90.00
_cell_angle_beta 90.00
_cell_angle_gamma 90.00
_symmetry_space_group_name_H-M 'I -4 2 d'
_symmetry_Int_Tables_number 122
_symmetry_space_group_name_Hall 'I -4 2bw'
loop_
_atom_site_label
_atom_site_type_symbol
_atom_site_fract_x
_atom_site_fract_y
_atom_site_fract_z
_atom_site_occupancy
Nb1 Nb 0.0000 0.0000 0.0000 1
Pt1 Pt 0.2356 0.2500 0.1250 1
Rh1 Rh 0.0000 0.0000 0.5000 1
# * calculated total energy: -7.43 eV per atom

***

# 4
# NbPt2Rh2, relaxed, DFT PBE
data_NbPt2Rh2
_chemical_formula_sum 'Nb2 Pt4 Rh4'
_cell_length_a 4.8857
_cell_length_b 4.8857
_cell_length_c 7.6552
_cell_angle_alpha 90.00
_cell_angle_beta 90.00
_cell_angle_gamma 90.00
_symmetry_space_group_name_H-M 'I 4/m m m'
_symmetry_Int_Tables_number 139
_symmetry_space_group_name_Hall '-I 4 2'
loop_
_atom_site_label
_atom_site_type_symbol
_atom_site_fract_x
_atom_site_fract_y
_atom_site_fract_z
_atom_site_occupancy
Nb1 Nb 0.0000 0.0000 0.0000 1
Pt1 Pt 0.0000 0.0000 0.3418 1
Rh1 Rh 0.0000 0.5000 0.2500 1
# * E above lowest polymorph: 52.4 kJ per mole of atoms
# * calculated total energy: -6.89 eV per atom

***

# 5
# Nb2Pt6Rh3, relaxed, DFT PBE
data_Nb2Pt6Rh3
_chemical_formula_sum 'Nb8 Pt24 Rh12'
_cell_length_a 9.6384
_cell_length_b 4.8815
_cell_length_c 14.6101
_cell_angle_alpha 90.00
_cell_angle_beta 90.19
_cell_angle_gamma 90.00
_symmetry_space_group_name_H-M 'C 1 2/c 1'
_symmetry_Int_Tables_number 15
loop_
_symmetry_equiv_pos_as_xyz
'x,y,z'
'-x,-y,-z'
'-x,y,-z+1/2'
'x,-y,z+1/2'
'x+1/2,y+1/2,z'
'-x+1/2,-y+1/2,-z'
'-x+1/2,y+1/2,-z+1/2'
'x+1/2,-y+1/2,z+1/2'
loop_
_atom_site_label
_atom_site_type_symbol
_atom_site_fract_x
_atom_site_fract_y
_atom_site_fract_z
_atom_site_occupancy
Nb1 Nb 0.1362 0.0840 0.0230 1
Pt1 Pt 0.0418 0.0851 0.8411 1
Pt2 Pt 0.0925 0.4212 0.4305 1
Pt3 Pt 0.1865 0.4170 0.6137 1
Rh1 Rh 0.0000 0.4097 0.2500 1
Rh2 Rh 0.2270 0.0841 0.2055 1
# * calculated total energy: -7.47 eV per atom

***

# 6
# Nb2PtRh7, relaxed, DFT PBE
data_Nb2PtRh7
_chemical_formula_sum 'Nb4 Pt2 Rh14'
_cell_length_a 8.1555
_cell_length_b 15.2575
_cell_length_c 2.7583
_cell_angle_alpha 90.00
_cell_angle_beta 90.00
_cell_angle_gamma 90.00
_symmetry_space_group_name_H-M 'C m m m'
_symmetry_Int_Tables_number 65
_symmetry_space_group_name_Hall '-C 2 2'
loop_
_atom_site_label
_atom_site_type_symbol
_atom_site_fract_x
_atom_site_fract_y
_atom_site_fract_z
_atom_site_occupancy
Nb1 Nb 0.0000 0.1771 0.0000 1
Pt1 Pt 0.0000 0.5000 0.5000 1
Rh1 Rh 0.0000 0.0000 0.0000 1
Rh2 Rh 0.0000 0.3204 0.5000 1
Rh3 Rh 0.2323 0.4035 0.0000 1
# * calculated total energy: -7.51 eV per atom

***

# 7
# Nb3Pt3Rh2, relaxed, DFT PBE
data_Nb3Pt3Rh2
_chemical_formula_sum 'Nb3 Pt3 Rh2'
_cell_length_a 3.9504
_cell_length_b 3.9957
_cell_length_c 8.0816
_cell_angle_alpha 90.00
_cell_angle_beta 90.00
_cell_angle_gamma 90.00
_symmetry_space_group_name_H-M 'P m m m'
_symmetry_Int_Tables_number 47
loop_
_symmetry_equiv_pos_as_xyz
'x,y,z'
'-x,-y,-z'
'-x,-y,z'
'x,y,-z'
'x,-y,-z'
'-x,y,z'
'-x,y,-z'
'x,-y,z'
loop_
_atom_site_label
_atom_site_type_symbol
_atom_site_fract_x
_atom_site_fract_y
_atom_site_fract_z
_atom_site_occupancy
Nb1 Nb 0.0000 0.0000 0.0000 1
Nb2 Nb 0.5000 0.0000 0.2513 1
Pt1 Pt 0.0000 0.0000 0.5000 1
Pt2 Pt 0.5000 0.5000 0.0000 1
Pt3 Pt 0.5000 0.5000 0.5000 1
Rh1 Rh 0.0000 0.5000 0.2514 1
# * calculated total energy: -8.45 eV per atom

***

# 8
# Nb2PtRh, relaxed, DFT PBE
data_Nb2PtRh
_chemical_formula_sum 'Nb2 Pt1 Rh1'
_cell_length_a 4.0085
_cell_length_b 4.0085
_cell_length_c 4.0450
_cell_angle_alpha 90.00
_cell_angle_beta 90.00
_cell_angle_gamma 90.00
_symmetry_space_group_name_H-M 'P 4/m m m'
_symmetry_Int_Tables_number 123
_symmetry_space_group_name_Hall '-P 4 2'
loop_
_atom_site_label
_atom_site_type_symbol
_atom_site_fract_x
_atom_site_fract_y
_atom_site_fract_z
_atom_site_occupancy
Nb1 Nb 0.0000 0.5000 0.0000 1
Pt1 Pt 0.0000 0.0000 0.5000 1
Rh1 Rh 0.5000 0.5000 0.5000 1
# * calculated total energy: -8.95 eV per atom

***

# 9
# NbPtRh, relaxed, DFT PBE
data_NbPtRh
_chemical_formula_sum 'Nb4 Pt4 Rh4'
_cell_length_a 4.1663
_cell_length_b 8.3471
_cell_length_c 5.6004
_cell_angle_alpha 90.00
_cell_angle_beta 90.00
_cell_angle_gamma 90.00
_symmetry_space_group_name_H-M 'C m c m'
_symmetry_Int_Tables_number 63
_symmetry_space_group_name_Hall '-C 2c 2'
loop_
_atom_site_label
_atom_site_type_symbol
_atom_site_fract_x
_atom_site_fract_y
_atom_site_fract_z
_atom_site_occupancy
Nb1 Nb 0.0000 0.0000 0.0000 1
Pt1 Pt 0.0000 0.3388 0.2500 1
Rh1 Rh 0.0000 0.3482 0.7500 1
# * E above lowest polymorph: 23.3 kJ per mole of atoms
# * calculated total energy: -8.16 eV per atom

***

# 10
# Nb3PtRh, relaxed, DFT PBE
data_Nb3PtRh
_chemical_formula_sum 'Nb6 Pt2 Rh2'
_cell_length_a 4.7061
_cell_length_b 5.7680
_cell_length_c 6.7934
_cell_angle_alpha 90.00
_cell_angle_beta 109.15
_cell_angle_gamma 90.00
_symmetry_space_group_name_H-M 'P 1 21/m 1'
_symmetry_Int_Tables_number 11
loop_
_symmetry_equiv_pos_as_xyz
'x,y,z'
'-x,-y,-z'
'-x,y+1/2,-z'
'x,-y+1/2,z'
loop_
_atom_site_label
_atom_site_type_symbol
_atom_site_fract_x
_atom_site_fract_y
_atom_site_fract_z
_atom_site_occupancy
Nb1 Nb 0.0304 0.2500 0.4963 1
Nb2 Nb 0.1917 0.5008 0.8767 1
Pt1 Pt 0.3644 0.7500 0.2591 1
Rh1 Rh 0.3897 0.2500 0.2583 1
# * E above lowest polymorph: 0.0 kJ per mole of atoms
# * calculated total energy: -8.85 eV per atom

***

# 11
# NbPt2Rh6, relaxed, DFT PBE
data_NbPt2Rh6
_chemical_formula_sum 'Nb2 Pt4 Rh12'
_cell_length_a 3.9050
_cell_length_b 5.5057
_cell_length_c 13.6009
_cell_angle_alpha 90.00
_cell_angle_beta 90.00
_cell_angle_gamma 90.00
_symmetry_space_group_name_H-M 'I m m 2'
_symmetry_Int_Tables_number 44
loop_
_symmetry_equiv_pos_as_xyz
'x,y,z'
'-x,-y,z'
'-x,y,z'
'x,-y,z'
'x+1/2,y+1/2,z+1/2'
'-x+1/2,-y+1/2,z+1/2'
'-x+1/2,y+1/2,z+1/2'
'x+1/2,-y+1/2,z+1/2'
loop_
_atom_site_label
_atom_site_type_symbol
_atom_site_fract_x
_atom_site_fract_y
_atom_site_fract_z
_atom_site_occupancy
Nb1 Nb 0.0000 0.0000 0.0000 1
Pt1 Pt 0.0000 0.5000 0.2059 1
Pt2 Pt 0.0000 0.5000 0.9946 1
Rh1 Rh 0.0000 0.2494 0.3973 1
Rh2 Rh 0.0000 0.2535 0.5937 1
Rh3 Rh 0.0000 0.2821 0.7792 1
# * E above lowest polymorph: 34.0 kJ per mole of atoms
# * calculated total energy: -7.27 eV per atom

***

# 12
# NbPt2Rh2, relaxed, DFT PBE
data_NbPt2Rh2
_chemical_formula_sum 'Nb2 Pt4 Rh4'
_cell_length_a 10.3170
_cell_length_b 2.9439
_cell_length_c 5.7396
_cell_angle_alpha 90.00
_cell_angle_beta 101.76
_cell_angle_gamma 90.00
_symmetry_space_group_name_H-M 'C 1 2/m 1'
_symmetry_Int_Tables_number 12
loop_
_symmetry_equiv_pos_as_xyz
'x,y,z'
'-x,-y,-z'
'-x,y,-z'
'x,-y,z'
'x+1/2,y+1/2,z'
'-x+1/2,-y+1/2,-z'
'-x+1/2,y+1/2,-z'
'x+1/2,-y+1/2,z'
loop_
_atom_site_label
_atom_site_type_symbol
_atom_site_fract_x
_atom_site_fract_y
_atom_site_fract_z
_atom_site_occupancy
Nb1 Nb 0.0000 0.0000 0.0000 1
Pt1 Pt 0.1892 0.5000 0.2857 1
Rh1 Rh 0.0869 0.5000 0.7018 1
# * E above lowest polymorph: 0.0 kJ per mole of atoms
# * calculated total energy: -7.43 eV per atom

***

# 13
# NbPtRh2, relaxed, DFT PBE
data_NbPtRh2
_chemical_formula_sum 'Nb4 Pt4 Rh8'
_cell_length_a 6.2944
_cell_length_b 6.2944
_cell_length_c 6.2944
_cell_angle_alpha 90.00
_cell_angle_beta 90.00
_cell_angle_gamma 90.00
_symmetry_space_group_name_H-M 'F m -3 m'
_symmetry_Int_Tables_number 225
_symmetry_space_group_name_Hall '-F 4 2 3'
loop_
_atom_site_label
_atom_site_type_symbol
_atom_site_fract_x
_atom_site_fract_y
_atom_site_fract_z
_atom_site_occupancy
Nb1 Nb 0.0000 0.0000 0.0000 1
Pt1 Pt 0.0000 0.0000 0.5000 1
Rh1 Rh 0.2500 0.2500 0.2500 1
# * calculated total energy: -8.00 eV per atom

***

# 14
# NbPtRh4, relaxed, DFT PBE
data_NbPtRh4
_chemical_formula_sum 'Nb1 Pt1 Rh4'
_cell_length_a 4.1188
_cell_length_b 4.1188
_cell_length_c 6.2982
_cell_angle_alpha 90.00
_cell_angle_beta 90.00
_cell_angle_gamma 90.00
_symmetry_space_group_name_H-M 'P 4/m m m'
_symmetry_Int_Tables_number 123
_symmetry_space_group_name_Hall '-P 4 2'
loop_
_atom_site_label
_atom_site_type_symbol
_atom_site_fract_x
_atom_site_fract_y
_atom_site_fract_z
_atom_site_occupancy
Nb1 Nb 0.0000 0.0000 0.0000 1
Pt1 Pt 0.5000 0.5000 0.5000 1
Rh1 Rh 0.0000 0.5000 0.2440 1
# * E above lowest polymorph: 37.9 kJ per mole of atoms
# * calculated total energy: -7.41 eV per atom

***

# 15
# Nb2Pt2Rh3, relaxed, DFT PBE
data_Nb2Pt2Rh3
_chemical_formula_sum 'Nb2 Pt2 Rh3'
_cell_length_a 5.0268
_cell_length_b 2.8855
_cell_length_c 8.0072
_cell_angle_alpha 90.00
_cell_angle_beta 90.62
_cell_angle_gamma 90.00
_symmetry_space_group_name_H-M 'P 1 2/m 1'
_symmetry_Int_Tables_number 10
loop_
_symmetry_equiv_pos_as_xyz
'x,y,z'
'-x,-y,-z'
'-x,y,-z'
'x,-y,z'
loop_
_atom_site_label
_atom_site_type_symbol
_atom_site_fract_x
_atom_site_fract_y
_atom_site_fract_z
_atom_site_occupancy
Nb1 Nb 0.0101 0.0000 0.2247 1
Pt1 Pt 0.4997 0.5000 0.3248 1
Rh1 Rh 0.0000 0.5000 0.5000 1
Rh2 Rh 0.2624 0.5000 0.9956 1
# * E above lowest polymorph: 0.0 kJ per mole of atoms
# * calculated total energy: -7.95 eV per atom

***

# 16
# Nb4Pt2Rh3, relaxed, DFT PBE
data_Nb4Pt2Rh3
_chemical_formula_sum 'Nb8 Pt4 Rh6'
_cell_length_a 9.0100
_cell_length_b 3.9917
_cell_length_c 8.5052
_cell_angle_alpha 90.00
_cell_angle_beta 108.77
_cell_angle_gamma 90.00
_symmetry_space_group_name_H-M 'C 1 2/m 1'
_symmetry_Int_Tables_number 12
loop_
_symmetry_equiv_pos_as_xyz
'x,y,z'
'-x,-y,-z'
'-x,y,-z'
'x,-y,z'
'x+1/2,y+1/2,z'
'-x+1/2,-y+1/2,-z'
'-x+1/2,y+1/2,-z'
'x+1/2,-y+1/2,z'
loop_
_atom_site_label
_atom_site_type_symbol
_atom_site_fract_x
_atom_site_fract_y
_atom_site_fract_z
_atom_site_occupancy
Nb1 Nb 0.0151 0.0000 0.3368 1
Nb2 Nb 0.1680 0.5000 0.8921 1
Pt1 Pt 0.1679 0.5000 0.2214 1
Rh1 Rh 0.0000 0.0000 0.0000 1
Rh2 Rh 0.1639 0.5000 0.5554 1
# * calculated total energy: -8.78 eV per atom

***

# 17
# Nb2Pt6Rh, relaxed, DFT PBE
data_Nb2Pt6Rh
_chemical_formula_sum 'Nb4 Pt12 Rh2'
_cell_length_a 12.1703
_cell_length_b 7.4529
_cell_length_c 3.8737
_cell_angle_alpha 90.00
_cell_angle_beta 108.54
_cell_angle_gamma 90.00
_symmetry_space_group_name_H-M 'C 1 2/m 1'
_symmetry_Int_Tables_number 12
loop_
_symmetry_equiv_pos_as_xyz
'x,y,z'
'-x,-y,-z'
'-x,y,-z'
'x,-y,z'
'x+1/2,y+1/2,z'
'-x+1/2,-y+1/2,-z'
'-x+1/2,y+1/2,-z'
'x+1/2,-y+1/2,z'
loop_
_atom_site_label
_atom_site_type_symbol
_atom_site_fract_x
_atom_site_fract_y
_atom_site_fract_z
_atom_site_occupancy
Nb1 Nb 0.1595 0.0000 0.1611 1
Pt1 Pt 0.0000 0.2541 0.0000 1
Pt2 Pt 0.1656 0.2513 0.6659 1
Rh1 Rh 0.0000 0.5000 0.5000 1
# * E above lowest polymorph: 33.3 kJ per mole of atoms
# * calculated total energy: -7.31 eV per atom

***

# 18
# Nb4Pt3Rh, relaxed, DFT PBE
data_Nb4Pt3Rh
_chemical_formula_sum 'Nb8 Pt6 Rh2'
_cell_length_a 9.1055
_cell_length_b 3.9923
_cell_length_c 8.0247
_cell_angle_alpha 90.00
_cell_angle_beta 116.14
_cell_angle_gamma 90.00
_symmetry_space_group_name_H-M 'C 1 2/m 1'
_symmetry_Int_Tables_number 12
loop_
_symmetry_equiv_pos_as_xyz
'x,y,z'
'-x,-y,-z'
'-x,y,-z'
'x,-y,z'
'x+1/2,y+1/2,z'
'-x+1/2,-y+1/2,-z'
'-x+1/2,y+1/2,-z'
'x+1/2,-y+1/2,z'
loop_
_atom_site_label
_atom_site_type_symbol
_atom_site_fract_x
_atom_site_fract_y
_atom_site_fract_z
_atom_site_occupancy
Nb1 Nb 0.2481 0.0000 0.1228 1
Nb2 Nb 0.2484 0.5000 0.3729 1
Pt1 Pt 0.0001 0.0000 0.2500 1
Pt2 Pt 0.0000 0.5000 0.5000 1
Rh1 Rh 0.0000 0.5000 0.0000 1
# * E above lowest polymorph: 0.0 kJ per mole of atoms
# * calculated total energy: -8.83 eV per atom

***

# 19
# Nb4Pt3Rh2, relaxed, DFT PBE
data_Nb4Pt3Rh2
_chemical_formula_sum 'Nb8 Pt6 Rh4'
_cell_length_a 9.0303
_cell_length_b 3.9630
_cell_length_c 8.5753
_cell_angle_alpha 90.00
_cell_angle_beta 108.00
_cell_angle_gamma 90.00
_symmetry_space_group_name_H-M 'C 1 2/m 1'
_symmetry_Int_Tables_number 12
loop_
_symmetry_equiv_pos_as_xyz
'x,y,z'
'-x,-y,-z'
'-x,y,-z'
'x,-y,z'
'x+1/2,y+1/2,z'
'-x+1/2,-y+1/2,-z'
'-x+1/2,y+1/2,-z'
'x+1/2,-y+1/2,z'
loop_
_atom_site_label
_atom_site_type_symbol
_atom_site_fract_x
_atom_site_fract_y
_atom_site_fract_z
_atom_site_occupancy
Nb1 Nb 0.0127 0.0000 0.3317 1
Nb2 Nb 0.1706 0.5000 0.8934 1
Pt1 Pt 0.0000 0.0000 0.0000 1
Pt2 Pt 0.1650 0.5000 0.5588 1
Rh1 Rh 0.1659 0.5000 0.2192 1
# * calculated total energy: -8.69 eV per atom

***

# 20
# Nb2PtRh3, relaxed, DFT PBE
data_Nb2PtRh3
_chemical_formula_sum 'Nb8 Pt4 Rh12'
_cell_length_a 12.1186
_cell_length_b 3.9929
_cell_length_c 8.8429
_cell_angle_alpha 90.00
_cell_angle_beta 117.48
_cell_angle_gamma 90.00
_symmetry_space_group_name_H-M 'C 1 2/m 1'
_symmetry_Int_Tables_number 12
loop_
_symmetry_equiv_pos_as_xyz
'x,y,z'
'-x,-y,-z'
'-x,y,-z'
'x,-y,z'
'x+1/2,y+1/2,z'
'-x+1/2,-y+1/2,-z'
'-x+1/2,y+1/2,-z'
'x+1/2,-y+1/2,z'
loop_
_atom_site_label
_atom_site_type_symbol
_atom_site_fract_x
_atom_site_fract_y
_atom_site_fract_z
_atom_site_occupancy
Nb1 Nb 0.0229 0.0000 0.3471 1
Nb2 Nb 0.2118 0.5000 0.3571 1
Pt1 Pt 0.1247 0.5000 0.6220 1
Rh1 Rh 0.0361 0.5000 0.8687 1
Rh2 Rh 0.1263 0.0000 0.1329 1
Rh3 Rh 0.2100 0.0000 0.8803 1
# * E above lowest polymorph: 13.2 kJ per mole of atoms
# * calculated total energy: -8.43 eV per atom

***

| no. | DOS(E_F) (states/eV per cell) | theoretical density (g/cm3) |
| --- | --- | --- |
| 1 | 5.3 | 13.47 |
| 2 | 10.9 | 16.98 |
| 3 | 10.6 | 13.97 |
| 4 | 13.8 | 12.52 |
| 5 | 62.0 | 16.09 |
| 6 | 34.9 | 10.66 |
| 7 | 6.7 | 13.93 |
| 8 | 3.0 | 12.36 |
| 9 | 14.3 | 13.33 |
| 10 | 10.0 | 10.99 |
| 11 | 24.0 | 12.50 |
| 12 | 9.5 | 13.41 |
| 13 | 15.3 | 13.15 |
| 14 | 5.7 | 10.87 |
| 15 | 6.3 | 12.65 |
| 16 | 16.3 | 12.28 |
| 17 | 11.1 | 14.55 |
| 18 | 8.5 | 13.44 |
| 19 | 14.0 | 13.23 |
| 20 | 21.4 | 12.07 |